[1]
A plane-wave DFT calculation with PBE was carried out for an optimized crystal structure of BaSrCo.

It has space group P3m1 (No. 156), with a = 4.3355 Å, b = 4.3355 Å, c = 7.3794 Å, α = 90.00°, β = 90.00° and γ = 120.00°. The distinct sites, in fractional coordinates, are Ba at (0.0000, 0.0000, 0.0000), Sr at (0.6667, 0.3333, 0.4697) and Co at (0.3333, 0.6667, 0.2393).

The formation energy comes out at 0.45 eV per atom.

---

[2]
A plane-wave DFT calculation with PBE was carried out for an optimized crystal structure of Ba3ScTl2O8.

It has space group P-3m1 (No. 164), with a = 6.0466 Å, b = 6.0466 Å, c = 7.9809 Å, α = 90.00°, β = 90.00° and γ = 120.00°. The distinct sites, in fractional coordinates, are Ba at (0.0000, 0.0000, 0.0000), Ba at (0.3333, 0.6667, 0.6257), Sc at (0.0000, 0.0000, 0.5000), Tl at (0.3333, 0.6667, 0.1894), O at (0.1586, 0.3172, 0.3384) and O at (0.3333, 0.6667, 0.9338).

The value obtained for the formation energy without anion corrections is -1.89 eV per atom.

---

[3]
A plane-wave DFT calculation with PBE was carried out for an optimized crystal structure of ScAlGa2.

It has space group P4/mmm (No. 123), with a = 3.4284 Å, b = 3.4284 Å, c = 6.1832 Å, α = 90.00°, β = 90.00° and γ = 90.00°. The distinct sites, in fractional coordinates, are Sc at (0.0000, 0.0000, 0.0000), Al at (0.0000, 0.0000, 0.5000) and Ga at (0.5000, 0.5000, 0.2773).

The formation energy comes out at -0.30 eV per atom.

---

no.,Fermi-level density of states (states/eV per cell),magnetization (μB per cell),uncorrected energy (eV for the cell shown)
1,5.2,0.68,-9.4
2,10.4,1.10,-82.9
3,2.6,0.05,-17.3